Computed, not measured: crystalline ErOs2W at its relaxed geometry at the GGA-PBE level of DFT.

The structure belongs to space group P4/mmm (No. 123); the cell edges are 3.0979, 3.0979 and 7.2713 Å and the angles 90.00°, 90.00° and 90.00°. The asymmetric unit holds Er at (0.0000, 0.0000, 0.0000), Os at (0.5000, 0.5000, 0.2880) and W at (0.0000, 0.0000, 0.5000).

Its calculated density is 17.41 Mg/m³. The crystal system is tetragonal. As for the formation energy from the elements: -0.02 eV per atom. Its volume is 17.45 A^3/atom. Its total moment is 0.00 μB/atom.